Computed, not measured: La3Al2CoO9 after structural relaxation at the PBE with a Hubbard U level of DFT.

```
data_La3Al2CoO9
_cell_length_a 5.388
_cell_length_b 5.388
_cell_length_c 6.601
_cell_angle_alpha 90.00
_cell_angle_beta 90.00
_cell_angle_gamma 120.00
_space_group_name_H-M_alt 'P 1'
_space_group_IT_number 1
loop_
_space_group_symop_operation_xyz
'x,y,z'
loop_
_atom_site_label
_atom_site_type_symbol
_atom_site_fract_x
_atom_site_fract_y
_atom_site_fract_z
La1 La 0.333 0.667 0.660
La2 La 0.000 0.000 0.000
La3 La 0.667 0.333 0.340
Al1 Al 0.333 0.667 0.161
Al2 Al 0.667 0.333 0.839
Co1 Co 0.000 0.000 0.500
O1 O 0.832 0.168 0.668
O2 O 0.832 0.665 0.668
O3 O 0.335 0.168 0.668
O4 O 0.665 0.832 0.332
O5 O 0.168 0.335 0.332
O6 O 0.168 0.832 0.332
O7 O 0.500 0.000 0.000
O8 O 0.000 0.500 0.000
O9 O 0.500 0.500 0.000
```

Output
Symmetry = P-3m1 (164)
VASP energy = -7.73 eV per atom